# 1
Density functional theory data (GGA-PBE) for crystalline LaTcOs2 at its relaxed geometry.

Lattice parameters (Å, degrees): 6.611 6.611 6.611 90.00 90.00 90.00
Positions (direct):
La: 0.000 0.000 0.000
La: 0.000 0.500 0.500
La: 0.500 0.000 0.500
La: 0.500 0.500 0.000
Tc: 0.000 0.000 0.500
Tc: 0.000 0.500 0.000
Tc: 0.500 0.000 0.000
Tc: 0.500 0.500 0.500
Os: 0.250 0.250 0.250
Os: 0.250 0.250 0.750
Os: 0.250 0.750 0.250
Os: 0.250 0.750 0.750
Os: 0.750 0.250 0.250
Os: 0.750 0.250 0.750
Os: 0.750 0.750 0.250
Os: 0.750 0.750 0.750

Summary:
Total DFT energy (no corrections) = -0.639 Ry per atom
Offset from the most stable computed form = 455 meV per atom
Formation energy from the elements = 748 meV per atom
DOS at the Fermi energy = 1.24 states/eV per atom

# 2
Density functional theory data (GGA-PBE) for crystalline KCa2HPb at its relaxed geometry.

Lattice parameters (Å, degrees): 5.197 5.197 4.932 90.00 90.00 90.00
Positions (direct):
K: 0.000 0.000 0.000
Ca: 0.000 0.500 0.500
Ca: 0.500 0.000 0.500
H: 0.000 0.000 0.500
Pb: 0.500 0.500 0.000

Summary:
Total DFT energy (no corrections) = -0.201 Ry per atom
DOS at the Fermi energy = 0.27 states/eV per atom